Tb4Tl2Ga: optimized geometry, GGA-PBE.

Summary:
M_tot (Bohr magnetons per cell): 0.00
Density (g/cm3): 9.11
Calculated formation energy (eV/atom): -0.2629
Space group: R-3m, No. 166
Distance to the lowest polymorph of the same formula (meV/atom): 0

Cell lengths 5.2349, 5.2349, 9.0726 Å; angles 73.23, 73.23, 60.00 degrees
With the nearest neighbours (Å) after each atom.
Element x y z (fractional)
Tl1 0.7549 0.7549 0.7354  8 Tb 3.15-3.31
Tl2 0.2451 0.2451 0.2646  8 Tb 3.15-3.31
Tb1 0.8775 0.8775 0.3676  1 Ga 3.14, 4 Tl 3.15
Tb2 0.1225 0.1225 0.6324  1 Ga 3.14, 4 Tl 3.15
Tb3 0.6258 0.6258 0.1227  3 Ga 3.20, 4 Tl 3.26-3.31
Tb4 0.3742 0.3742 0.8773  3 Ga 3.20, 4 Tl 3.26-3.31
Ga1 0.0000 0.0000 0.0000  8 Tb 3.14-3.20

---

TbTmTlGa: optimized geometry, GGA-PBE.

Summary:
M_tot (Bohr magnetons per cell): 0.00
Density (g/cm3): 10.04
Calculated formation energy (eV/atom): -0.4171
Space group: F-43m, No. 216
Distance to the lowest polymorph of the same formula (meV/atom): 30

Cell lengths 5.2025, 5.2025, 5.2025 Å; angles 60.00, 60.00, 60.00 degrees
With the nearest neighbours (Å) after each atom.
Element x y z (fractional)
Tl1 0.7500 0.7500 0.7500  4 Tm 3.19, 4 Tb 3.19
Tm1 0.5000 0.5000 0.5000  4 Tl 3.19, 4 Ga 3.19
Tb1 0.0000 0.0000 0.0000  4 Tl 3.19, 4 Ga 3.19
Ga1 0.2500 0.2500 0.2500  4 Tm 3.19, 4 Tb 3.19

---

TbTmTlGa: optimized geometry, GGA-PBE.

Summary:
M_tot (Bohr magnetons per cell): 0.00
Density (g/cm3): 10.07
Calculated formation energy (eV/atom): -0.4470
Space group: P4mm, No. 99
Distance to the lowest polymorph of the same formula (meV/atom): 0

Cell lengths 3.5617, 3.5617, 7.8221 Å; angles 90.00, 90.00, 90.00 degrees
With the nearest neighbours (Å) after each atom.
Element x y z (fractional)
Tb1 0.0000 0.0000 0.8375  4 Ga 3.12, 4 Tl 3.31
Tm1 0.0000 0.0000 0.3758  4 Ga 3.08, 4 Tl 3.25
Tl1 0.5000 0.5000 0.1122  4 Tm 3.25, 4 Tb 3.31, 4 Tl 3.56
Ga1 0.5000 0.5000 0.6025  4 Tm 3.08, 4 Tb 3.12

---

TbYTlGa: optimized geometry, GGA-PBE.

Summary:
M_tot (Bohr magnetons per cell): 0.00
Density (g/cm3): 8.52
Calculated formation energy (eV/atom): -0.4470
Space group: F-43m, No. 216
Distance to the lowest polymorph of the same formula (meV/atom): 28

Cell lengths 5.2397, 5.2397, 5.2397 Å; angles 60.00, 60.00, 60.00 degrees
With the nearest neighbours (Å) after each atom.
Element x y z (fractional)
Y1 0.7500 0.7500 0.7500  4 Tl 3.21, 4 Ga 3.21
Tl1 0.0000 0.0000 0.0000  4 Y 3.21, 4 Tb 3.21
Tb1 0.2500 0.2500 0.2500  4 Tl 3.21, 4 Ga 3.21
Ga1 0.5000 0.5000 0.5000  4 Tb 3.21, 4 Y 3.21

---

TbYTlGa: optimized geometry, GGA-PBE.

Summary:
M_tot (Bohr magnetons per cell): 0.00
Density (g/cm3): 8.57
Calculated formation energy (eV/atom): -0.4753
Space group: P4mm, No. 99
Distance to the lowest polymorph of the same formula (meV/atom): 0

Cell lengths 3.6036, 3.6036, 7.7898 Å; angles 90.00, 90.00, 90.00 degrees
With the nearest neighbours (Å) after each atom.
Element x y z (fractional)
Tb1 0.0000 0.0000 0.8391  4 Ga 3.13, 4 Tl 3.30
Y1 0.0000 0.0000 0.3744  4 Ga 3.13, 4 Tl 3.29
Tl1 0.5000 0.5000 0.1078  4 Y 3.29, 4 Tb 3.30, 4 Tl 3.60
Ga1 0.5000 0.5000 0.6067  4 Y 3.13, 4 Tb 3.13

---

Tb4TmGa: optimized geometry, GGA-PBE.

Summary:
M_tot (Bohr magnetons per cell): 0.00
Density (g/cm3): 8.25
Calculated formation energy (eV/atom): -0.1012
Space group: C2/c, No. 15

Cell lengths 6.2604, 9.0321, 8.0543 Å; angles 114.17, 99.82, 112.90 degrees
With the nearest neighbours (Å) after each atom.
Element x y z (fractional)
Tb1 0.0436 0.1651 0.7727  2 Ga 3.19-3.20, 2 Tb 3.28-3.42, 2 Tm 3.37-3.47
Tb2 0.7634 0.7177 0.6350  2 Ga 3.03-3.05, 1 Tb 3.28
Tb3 0.2291 0.6076 0.7727  2 Ga 3.19-3.20, 2 Tb 3.28-3.42, 2 Tm 3.37-3.47
Tb4 0.3716 0.9173 0.6350  2 Ga 3.03-3.05, 1 Tb 3.28
Tb5 0.6284 0.0827 0.3650  2 Ga 3.03-3.05, 1 Tb 3.28
Tb6 0.7709 0.3924 0.2273  2 Ga 3.19-3.20, 2 Tb 3.28-3.42, 2 Tm 3.37-3.47
Tb7 0.2366 0.2823 0.3650  2 Ga 3.03-3.05, 1 Tb 3.28
Tb8 0.9564 0.8349 0.2273  2 Ga 3.19-3.20, 2 Tb 3.28-3.42, 2 Tm 3.37-3.47
Tm1 0.3446 0.5946 0.1892  8 Tb 3.37-3.54
Tm2 0.6554 0.4054 0.8108  8 Tb 3.37-3.54
Ga1 0.2496 0.9996 0.9992  8 Tb 3.03-3.20, 2 Ga 3.13
Ga2 0.7504 0.0004 0.0008  8 Tb 3.03-3.20, 2 Ga 3.13

---

Tb8TmGa6: optimized geometry, GGA-PBE.

Summary:
M_tot (Bohr magnetons per cell): 0.00
Density (g/cm3): 7.72
Calculated formation energy (eV/atom): -0.3655
Space group: R-3, No. 148

Cell lengths 8.6418, 8.6418, 7.9424 Å; angles 57.04, 57.04, 60.00 degrees
With the nearest neighbours (Å) after each atom.
Element x y z (fractional)
Tb1 0.5560 0.2208 0.3350  5 Ga 3.03-3.15
Tb2 0.7792 0.1117 0.6650  5 Ga 3.03-3.15
Tb3 0.1117 0.4440 0.6650  5 Ga 3.03-3.15
Tb4 0.6663 0.6663 0.0010  6 Ga 3.09
Tb5 0.3337 0.3337 0.9990  6 Ga 3.09
Tb6 0.8883 0.5560 0.3350  5 Ga 3.03-3.15
Tb7 0.2208 0.8883 0.3350  5 Ga 3.03-3.15
Tb8 0.4440 0.7792 0.6650  5 Ga 3.03-3.15
Tm1 0.0000 0.0000 0.0000  6 Ga 3.06
Ga1 0.3892 0.0581 0.8251  7 Tb 3.03-3.15, 1 Tm 3.06
Ga2 0.9419 0.2724 0.1749  7 Tb 3.03-3.15, 1 Tm 3.06
Ga3 0.2724 0.6108 0.1749  7 Tb 3.03-3.15, 1 Tm 3.06
Ga4 0.7276 0.3892 0.8251  7 Tb 3.03-3.15, 1 Tm 3.06
Ga5 0.0581 0.7276 0.8251  7 Tb 3.03-3.15, 1 Tm 3.06
Ga6 0.6108 0.9419 0.1749  7 Tb 3.03-3.15, 1 Tm 3.06

---

Tb2TmGa2: optimized geometry, GGA-PBE.

Summary:
M_tot (Bohr magnetons per cell): 0.00
Density (g/cm3): 8.25
Calculated formation energy (eV/atom): -0.5351
Space group: P4/mbm, No. 127
Distance to the lowest polymorph of the same formula (meV/atom): 0

Cell lengths 4.3303, 7.6299, 7.6299 Å; angles 90.00, 90.00, 90.00 degrees
With the nearest neighbours (Å) after each atom.
Element x y z (fractional)
Tb1 0.5000 0.1747 0.6747  6 Ga 3.10-3.15
Tb2 0.5000 0.6747 0.8253  6 Ga 3.10-3.15
Tb3 0.5000 0.8253 0.3253  6 Ga 3.10-3.15
Tb4 0.5000 0.3253 0.1747  6 Ga 3.10-3.15
Tm1 0.0000 0.0000 0.0000  4 Ga 3.04
Tm2 0.0000 0.5000 0.5000  4 Ga 3.04
Ga1 0.0000 0.3796 0.8796  1 Ga 2.60
Ga2 0.0000 0.8796 0.6204  1 Ga 2.60
Ga3 0.0000 0.6204 0.1204  1 Ga 2.60
Ga4 0.0000 0.1204 0.3796  1 Ga 2.60

---

Tb2TmGa2: optimized geometry, GGA-PBE.

Summary:
M_tot (Bohr magnetons per cell): 0.00
Density (g/cm3): 8.05
Calculated formation energy (eV/atom): -0.3644
Space group: C2/m, No. 12
Distance to the lowest polymorph of the same formula (meV/atom): 171

Cell lengths 3.5357, 5.9268, 6.5512 Å; angles 101.88, 105.66, 90.00 degrees
With the nearest neighbours (Å) after each atom.
Element x y z (fractional)
Tb1 0.3650 0.4298 0.7300  4 Ga 2.99-3.14, 1 Tb 3.33
Tb2 0.6350 0.5702 0.2700  4 Ga 2.99-3.14, 1 Tb 3.33
Tm1 0.0000 0.0000 0.0000  4 Ga 3.02
Ga1 0.6987 0.1125 0.3975  2 Ga 2.70, 1 Tb 2.99, 2 Tm 3.02
Ga2 0.3013 0.8875 0.6025  2 Ga 2.70, 1 Tb 2.99, 2 Tm 3.02

---

TbTm2Ga: optimized geometry, GGA-PBE.

Summary:
M_tot (Bohr magnetons per cell): 0.60
Density (g/cm3): 8.46
Calculated formation energy (eV/atom): -0.1983
Space group: R3m, No. 160
Distance to the lowest polymorph of the same formula (meV/atom): 91

Cell lengths 3.5651, 3.5651, 10.3124 Å; angles 80.05, 80.05, 60.00 degrees
With the nearest neighbours (Å) after each atom.
Element x y z (fractional)
Tb1 0.5003 0.5003 0.4991  6 Tm 3.55-3.56, 6 Tb 3.57
Tm1 0.0710 0.0710 0.7869  3 Ga 2.99
Tm2 0.2623 0.2623 0.2130  3 Ga 2.97
Ga1 0.6663 0.6663 0.0010  6 Tm 2.97-2.99

---

Tb2Tm5Ga4: optimized geometry, GGA-PBE.

Summary:
M_tot (Bohr magnetons per cell): 0.00
Density (g/cm3): 8.13
Calculated formation energy (eV/atom): -0.2570
Space group: P-1, No. 2

Cell lengths 4.2910, 10.1544, 8.3529 Å; angles 123.24, 90.03, 102.22 degrees
With the nearest neighbours (Å) after each atom.
Element x y z (fractional)
Tb1 0.0885 0.1776 0.4007  2 Ga 3.07-3.39
Tb2 0.9115 0.8224 0.5993  2 Ga 3.07-3.39
Tm1 0.2435 0.4878 0.3033  4 Ga 2.81-3.14
Tm2 0.7565 0.5122 0.6967  4 Ga 2.81-3.14
Tm3 0.4141 0.8276 0.2646  4 Ga 2.91-2.98
Tm4 0.5000 0.0000 0.0000  4 Ga 2.82
Tm5 0.5859 0.1724 0.7354  4 Ga 2.91-2.98
Ga1 0.7879 0.5757 0.1095  3 Ga 2.67-2.95, 2 Tm 2.98
Ga2 0.0847 0.1691 0.9689  5 Tm 2.81-2.91, 1 Ga 2.95, 1 Tb 3.07
Ga3 0.2121 0.4243 0.8905  3 Ga 2.67-2.95, 2 Tm 2.98
Ga4 0.9153 0.8309 0.0311  5 Tm 2.81-2.91, 1 Ga 2.95, 1 Tb 3.07

---

TbTm3Ga: optimized geometry, GGA-PBE.

Summary:
M_tot (Bohr magnetons per cell): 0.00
Density (g/cm3): 8.13
Calculated formation energy (eV/atom): -0.0602
Space group: C2/m, No. 12

Cell lengths 7.3466, 7.3466, 7.3401 Å; angles 105.43, 117.43, 105.90 degrees
With the nearest neighbours (Å) after each atom.
Element x y z (fractional)
Tb1 0.7151 0.0607 0.7757  2 Ga 2.86-3.10
Tb2 0.2849 0.9393 0.2243  2 Ga 2.86-3.10
Tm1 0.8435 0.0506 0.2773  2 Ga 2.82-3.09
Tm2 0.2267 0.4338 0.2773  2 Ga 2.82-3.09
Tm3 0.7733 0.5662 0.7227  2 Ga 2.82-3.09
Tm4 0.7191 0.4426 0.1617  2 Ga 2.82-3.13
Tm5 0.1565 0.9494 0.7227  2 Ga 2.82-3.09
Tm6 0.2809 0.5574 0.8383  2 Ga 2.82-3.13
Ga1 0.6257 0.7488 0.3745  6 Tm 2.82-3.13, 2 Tb 2.86-3.10
Ga2 0.3743 0.2512 0.6255  6 Tm 2.82-3.13, 2 Tb 2.86-3.10